## w
This record from Alexandria describes IrOs2 at its PBEsol-relaxed geometry. The functional is SCAN.

Unit cell a=2.700 b=3.827 c=4.685 alpha=114.10 beta=106.75 gamma=90.00
Element x y z (fractional)
1 Os 0.669 0.669 0.338
2 Os 0.331 0.331 0.662
3 Ir 0.000 0.000 0.000

ρ ... 22.68 g/cm³

## x
This record from Alexandria describes IrOs2 at its PBEsol-relaxed geometry. The functional is SCAN.

Unit cell a=3.462 b=3.462 c=4.763 alpha=90.00 beta=90.00 gamma=120.00
Element x y z (fractional)
1 Os 0.333 0.667 0.359
2 Os 0.667 0.333 0.641
3 Ir 0.000 0.000 0.000

ρ ... 19.24 g/cm³

## y
This record from Alexandria describes IrOs2 at its PBEsol-relaxed geometry. The functional is SCAN.

Unit cell a=2.703 b=2.703 c=6.051 alpha=102.90 beta=102.90 gamma=90.00
Element x y z (fractional)
1 Os 0.169 0.169 0.338
2 Os 0.831 0.831 0.662
3 Ir 0.500 0.500 0.000

ρ ... 22.68 g/cm³

Of all the structures shown, which is most stable? y, and x is the least stable.